{"formula": "Cd2SnHgPb", "functional": "PBE", "state": "optimized geometry", "lattice": [[-0.981, 0.367, 6.344], [-0.539, -6.311, 0.282], [6.888, 2.637, 0.913]], "species": ["Pb", "Pb", "Cd", "Cd", "Cd", "Cd", "Hg", "Hg", "Sn", "Sn"], "frac_coords": [[0.750, 0.738, 0.476], [0.250, 0.262, 0.524], [0.000, 0.753, 0.000], [0.500, 0.247, 0.000], [0.000, 0.247, 0.000], [0.500, 0.753, 0.000], [0.250, 0.858, 0.717], [0.750, 0.142, 0.283], [0.250, 0.647, 0.294], [0.750, 0.353, 0.706]], "delta_e_f_ev_per_fu": 0.361, "m_tot_mub_per_cell": 0.00, "space_group": "Cmcm, No. 63", "final_energy_ev_per_atom": -1.8965}

***

{"formula": "CdSnHg2Pb2", "functional": "PBE", "state": "optimized geometry", "lattice": [[-0.666, -4.621, -2.334], [5.231, -2.398, 3.256], [-5.708, -2.778, 7.127]], "species": ["Pb", "Pb", "Pb", "Pb", "Cd", "Cd", "Hg", "Hg", "Hg", "Hg", "Sn", "Sn"], "frac_coords": [[0.000, 0.324, 0.181], [0.000, 0.824, 0.819], [0.500, 0.574, 0.990], [0.500, 0.074, 0.010], [0.500, 0.675, 0.325], [0.500, 0.175, 0.675], [0.500, 0.183, 0.360], [0.000, 0.821, 0.171], [0.500, 0.683, 0.640], [0.000, 0.321, 0.829], [0.000, 0.968, 0.486], [0.000, 0.468, 0.514]], "delta_e_f_ev_per_fu": 0.253, "m_tot_mub_per_cell": 0.00, "space_group": "Pmc2_1, No. 26", "final_energy_ev_per_atom": -2.1142}

***

{"formula": "Cd2SnHgPb2", "functional": "PBE", "state": "optimized geometry", "lattice": [[6.352, 0.000, 0.000], [0.000, 6.316, 0.000], [-3.176, -3.158, 8.288]], "species": ["Sn", "Sn", "Pb", "Pb", "Pb", "Pb", "Hg", "Hg", "Cd", "Cd", "Cd", "Cd"], "frac_coords": [[0.750, 0.000, 0.000], [0.250, 0.000, 0.000], [0.685, 0.954, 0.370], [0.185, 0.416, 0.370], [0.315, 0.046, 0.630], [0.815, 0.584, 0.630], [0.750, 0.500, 0.000], [0.250, 0.500, 0.000], [0.630, 0.397, 0.260], [0.370, 0.603, 0.740], [0.130, 0.864, 0.260], [0.870, 0.136, 0.740]], "delta_e_f_ev_per_fu": 0.321, "m_tot_mub_per_cell": 0.00, "space_group": "Ibam, No. 72", "final_energy_ev_per_atom": -2.2051}

***

{"formula": "CdSn2Hg2Pb2", "functional": "PBE", "state": "optimized geometry", "lattice": [[-0.569, -2.879, 4.405], [4.016, -4.431, -2.406], [5.269, 0.136, 4.089]], "species": ["Cd", "Pb", "Pb", "Sn", "Sn", "Hg", "Hg"], "frac_coords": [[0.000, 0.000, 0.000], [0.853, 0.441, 0.301], [0.147, 0.559, 0.699], [0.748, 0.871, 0.505], [0.252, 0.129, 0.495], [0.472, 0.733, 0.061], [0.528, 0.267, 0.939]], "delta_e_f_ev_per_fu": 0.273, "m_tot_mub_per_cell": 0.00, "space_group": "P-1, No. 2", "final_energy_ev_per_atom": -2.3812}

***

{"formula": "Cd2Sn2HgPb2", "functional": "PBE", "state": "optimized geometry", "lattice": [[-0.948, -3.352, 2.892], [5.465, -1.884, -3.936], [3.040, 3.897, 5.515]], "species": ["Hg", "Cd", "Cd", "Sn", "Sn", "Pb", "Pb"], "frac_coords": [[0.000, 0.000, 0.500], [0.767, 0.534, 0.151], [0.233, 0.466, 0.849], [0.331, 0.661, 0.517], [0.669, 0.339, 0.483], [0.557, 0.114, 0.829], [0.443, 0.886, 0.171]], "delta_e_f_ev_per_fu": 0.888, "m_tot_mub_per_cell": 0.00, "space_group": "C2/m, No. 12", "final_energy_ev_per_atom": -2.3809}

***

{"formula": "CdSnHgPb2", "functional": "PBE", "state": "optimized geometry", "lattice": [[4.804, 0.000, 0.000], [0.000, 4.804, 0.000], [-2.402, -2.402, 6.973]], "species": ["Pb", "Pb", "Sn", "Cd", "Hg"], "frac_coords": [[0.750, 0.250, 0.499], [0.250, 0.750, 0.499], [0.104, 0.104, 0.207], [0.900, 0.900, 0.801], [0.497, 0.497, 0.993]], "delta_e_f_ev_per_fu": 0.569, "m_tot_mub_per_cell": 0.00, "space_group": "I4mm, No. 107", "final_energy_ev_per_atom": -2.4135}

***

{"formula": "CdSnHgPb", "functional": "PBE", "state": "optimized geometry", "lattice": [[3.444, 0.000, 0.000], [0.000, 3.444, 0.000], [0.000, 0.000, 9.002]], "species": ["Sn", "Pb", "Cd", "Hg"], "frac_coords": [[0.000, 0.000, 0.554], [0.500, 0.500, 0.825], [0.500, 0.500, 0.312], [0.000, 0.000, 0.093]], "delta_e_f_ev_per_fu": 0.119, "polymorph_energy_mev_per_atom": 0.0, "m_tot_mub_per_cell": 0.00, "space_group": "P4mm, No. 99", "final_energy_ev_per_atom": -2.2023}

***

{"formula": "Sr3CdHg6Pb2", "functional": "PBE", "state": "optimized geometry", "lattice": [[6.411, 0.000, 0.000], [-3.205, 5.552, 0.000], [0.000, 0.000, 9.972]], "species": ["Pb", "Pb", "Sr", "Sr", "Sr", "Hg", "Hg", "Hg", "Hg", "Hg", "Hg", "Cd"], "frac_coords": [[0.667, 0.333, 0.042], [0.333, 0.667, 0.958], [0.667, 0.333, 0.403], [0.000, 0.000, 0.000], [0.333, 0.667, 0.597], [0.350, 0.175, 0.732], [0.175, 0.350, 0.268], [0.825, 0.650, 0.732], [0.175, 0.825, 0.268], [0.825, 0.175, 0.732], [0.650, 0.825, 0.268], [0.000, 0.000, 0.500]], "delta_e_f_ev_per_fu": -3.452, "m_tot_mub_per_cell": 0.00, "space_group": "P-3m1, No. 164", "final_energy_ev_per_atom": -1.5533}

***

{"formula": "Sr2CdHg4Pb2", "functional": "PBE", "state": "optimized geometry", "lattice": [[-2.818, 4.654, 4.855], [-3.753, -1.907, -5.954], [0.724, -7.077, 1.601]], "species": ["Cd", "Sr", "Sr", "Hg", "Hg", "Hg", "Hg", "Pb", "Pb"], "frac_coords": [[0.000, 0.000, 0.000], [0.500, 0.750, 0.250], [0.500, 0.250, 0.750], [0.000, 0.277, 0.723], [0.000, 0.723, 0.277], [0.554, 0.277, 0.277], [0.446, 0.723, 0.723], [0.000, 0.293, 0.293], [0.000, 0.707, 0.707]], "delta_e_f_ev_per_fu": -2.568, "m_tot_mub_per_cell": 0.00, "space_group": "I4/mmm, No. 139", "final_energy_ev_per_atom": -1.7189}

***

{"formula": "Sr2Cd4Hg3Pb", "functional": "PBE", "state": "optimized geometry", "lattice": [[4.719, 0.000, 0.000], [0.000, 4.719, 0.000], [0.000, 0.000, 12.810]], "species": ["Cd", "Cd", "Cd", "Cd", "Sr", "Sr", "Hg", "Hg", "Hg", "Pb"], "frac_coords": [[0.000, 0.000, 0.000], [0.000, 0.500, 0.357], [0.500, 0.000, 0.643], [0.500, 0.500, 0.000], [0.500, 0.000, 0.245], [0.000, 0.500, 0.755], [0.000, 0.000, 0.500], [0.000, 0.500, 0.139], [0.500, 0.000, 0.861], [0.500, 0.500, 0.500]], "delta_e_f_ev_per_fu": -2.742, "m_tot_mub_per_cell": 0.00, "space_group": "P-4m2, No. 115", "final_energy_ev_per_atom": -1.4380}

***

{"formula": "Sr2CdHg6Pb", "functional": "PBE", "state": "optimized geometry", "lattice": [[-4.346, 6.273, -1.699], [0.710, -4.285, -6.513], [-4.441, -4.503, -3.806]], "species": ["Hg", "Hg", "Hg", "Hg", "Hg", "Hg", "Sr", "Sr", "Pb", "Cd"], "frac_coords": [[0.304, 0.350, 0.514], [0.329, 0.842, 0.972], [0.936, 0.750, 0.812], [0.064, 0.250, 0.188], [0.671, 0.158, 0.028], [0.696, 0.650, 0.486], [0.253, 0.771, 0.501], [0.747, 0.229, 0.499], [0.500, 0.500, 0.000], [0.000, 0.000, 0.000]], "delta_e_f_ev_per_fu": -2.484, "m_tot_mub_per_cell": 0.00, "space_group": "P-1, No. 2", "final_energy_ev_per_atom": -1.2282}

***

{"formula": "ThCdHgPb", "functional": "PBE", "state": "optimized geometry", "lattice": [[5.340, 0.000, 0.000], [2.670, 4.624, 0.000], [2.670, 1.541, 4.360]], "species": ["Cd", "Hg", "Th", "Pb"], "frac_coords": [[0.750, 0.750, 0.750], [0.000, 0.000, 0.000], [0.250, 0.250, 0.250], [0.500, 0.500, 0.500]], "delta_e_f_ev_per_fu": -0.426, "polymorph_energy_mev_per_atom": 138.1, "m_tot_mub_per_cell": 0.00, "space_group": "F-43m, No. 216", "final_energy_ev_per_atom": -3.1927}